1.
The following is a PBE calculation of InSO after structural relaxation, from Alexandria via LeMat-Bulk.

Geometry as POSCAR:
```
InSO
1.0
3.645 0.000 0.000
-0.027 4.016 0.000
-0.011 -1.788 7.627
In S O
2 2 2
Cartesian
0.000 0.000 0.000
1.760 2.648 2.721
1.774 1.974 0.173
3.567 1.536 4.294
3.387 2.540 5.559
3.609 -0.180 2.113
```

## Properties
Size of the total moment, μB per formula unit: 0.0
Formation energy (no corrections), eV/f.u.: -2.11
Final energy, eV per atom: -4.64

=====

2.
The following is a PBE calculation of InSO after structural relaxation, from Alexandria via LeMat-Bulk.

Geometry as POSCAR:
```
InSO
1.0
3.129 0.000 0.000
0.000 5.323 0.000
0.000 0.000 3.088
In S O
1 1 1
Cartesian
0.000 0.000 0.000
0.000 2.661 0.009
1.564 0.000 1.545
```

## Properties
Size of the total moment, μB per formula unit: 0.0
Formation energy (no corrections), eV/f.u.: -1.66
Final energy, eV per atom: -4.50

=====

3.
The following is a PBE calculation of InS6O2 after structural relaxation, from Alexandria via LeMat-Bulk.

Geometry as POSCAR:
```
InS6O2
1.0
9.678 -6.324 0.000
9.678 6.324 0.000
-0.136 0.000 4.427
In S O
2 12 4
Cartesian
9.576 5.321 3.320
9.644 -5.321 1.107
7.201 3.301 3.251
6.397 2.155 0.299
7.748 1.890 1.813
11.951 3.301 3.389
11.540 1.890 0.401
12.890 2.155 1.914
6.329 -2.155 2.512
7.680 -1.890 4.026
7.269 -3.301 1.038
11.472 -1.890 2.614
12.823 -2.155 4.127
12.019 -3.301 1.176
8.593 5.328 1.543
10.694 5.328 0.670
8.525 -5.328 3.756
10.626 -5.328 2.884
```

## Properties
Size of the total moment, μB per formula unit: 1.1
Formation energy (no corrections), eV/f.u.: -0.75
Final energy, eV per atom: -4.24

=====

4.
The following is a PBE calculation of InSO2 after structural relaxation, from Alexandria via LeMat-Bulk.

Geometry as POSCAR:
```
InSO2
1.0
1.650 0.952 6.075
-1.650 0.952 6.075
0.000 -1.905 6.075
In S O
1 1 2
Cartesian
0.000 0.000 0.000
0.000 0.000 9.112
0.000 0.000 7.168
0.000 0.000 11.056
```

## Properties
Polymorph energy (0 for the lowest one), meV per atom: 0
Size of the total moment, μB per formula unit: 0.0
Formation energy (no corrections), eV/f.u.: -2.94
Final energy, eV per atom: -4.93

=====

5.
The following is a PBE calculation of InSO2 after structural relaxation, from Alexandria via LeMat-Bulk.

Geometry as POSCAR:
```
InSO2
1.0
-2.985 2.985 3.109
2.985 -2.985 3.109
2.985 2.985 -3.109
In S O
2 2 4
Cartesian
0.000 0.000 0.000
0.000 2.985 1.554
2.985 0.000 1.554
0.000 0.000 3.109
4.478 1.387 -0.777
1.387 1.493 0.777
-1.493 1.599 2.331
1.599 1.493 3.886
```

## Properties
Polymorph energy (0 for the lowest one), meV per atom: 608
Size of the total moment, μB per formula unit: 0.0
Formation energy (no corrections), eV/f.u.: -0.51
Final energy, eV per atom: -4.32

=====

6.
The following is a PBE calculation of InSO2 after structural relaxation, from Alexandria via LeMat-Bulk.

Geometry as POSCAR:
```
InSO2
1.0
0.000 2.916 2.916
2.916 0.000 2.916
2.916 2.916 0.000
In S O
1 1 2
Cartesian
0.000 0.000 0.000
2.916 2.916 2.916
1.458 1.458 1.458
4.375 4.375 4.375
```

## Properties
Polymorph energy (0 for the lowest one), meV per atom: 1029
Size of the total moment, μB per formula unit: 1.3
Formation energy (no corrections), eV/f.u.: 1.18
Final energy, eV per atom: -3.90

=====

- Look up the final energy of the second one.
  -4.50 eV per atom

=====

- Among the records above, which one has the highest final energy?
  number 6